[1]
Compound: Ca2BPt
Source: Alexandria via LeMat-Bulk
Functional: GGA-PBE
Structure: optimized geometry

Unit cell a=7.440 b=7.440 c=6.322 alpha=90.00 beta=90.00 gamma=90.00
Space group I-42d (No. 122)
Inequivalent atoms, fractional coordinates:
Ca1 0.226 0.750 0.125 (multiplicity 8)
B1 0.000 0.000 0.000 (multiplicity 4)
Pt1 0.000 0.000 0.500 (multiplicity 4)

Output
**Size of the total moment**: 0.2529 μB per atom
**E_form**: 0.34 eV per atom
**Energy**: -61.476 eV per cell

---

[2]
Compound: K2TaTl
Source: Alexandria via LeMat-Bulk
Functional: GGA-PBE
Structure: optimized geometry

Unit cell a=9.778 b=9.778 c=6.016 alpha=90.00 beta=90.00 gamma=90.00
Space group I-42d (No. 122)
Inequivalent atoms, fractional coordinates:
K1 0.233 0.250 0.125 (multiplicity 8)
Ta1 0.000 0.000 0.500 (multiplicity 4)
Tl1 0.000 0.000 0.000 (multiplicity 4)

Output
**Size of the total moment**: 0.8949 μB per atom
**Offset from the most stable computed form**: 11.640 kcal/mol of atoms
**E_form**: 1.27 eV per atom
**Energy**: -45.400 eV per cell

---

[3]
Compound: PmHfRuPt
Source: Alexandria via LeMat-Bulk
Functional: GGA-PBE
Structure: optimized geometry

Unit cell a=6.814 b=6.814 c=6.814 alpha=90.00 beta=90.00 gamma=90.00
Space group F-43m (No. 216)
Inequivalent atoms, fractional coordinates:
Pm1 0.000 0.000 0.000 (multiplicity 4)
Hf1 0.000 0.000 0.500 (multiplicity 4)
Ru1 0.250 0.250 0.250 (multiplicity 4)
Pt1 0.250 0.250 0.750 (multiplicity 4)

Output
**Size of the total moment**: 0.0000 μB per atom
**E_form**: -0.61 eV per atom
**Energy**: -129.882 eV per cell

---

[4]
Compound: Ce2PrZn9
Source: Alexandria via LeMat-Bulk
Functional: GGA-PBE
Structure: optimized geometry

Unit cell a=5.4434 b=5.4434 c=26.5293 alpha=90.00 beta=90.00 gamma=120.00
Space group R-3m (No. 166, hexagonal axes)
Inequivalent atoms, fractional coordinates:
Ce1 0.0000 0.0000 0.1479 (multiplicity 6)
Pr1 0.0000 0.0000 0.0000 (multiplicity 3)
Zn1 0.0000 0.0000 0.3355 (multiplicity 6)
Zn2 0.0000 0.0000 0.5000 (multiplicity 3)
Zn3 0.0041 0.5021 0.9185 (multiplicity 18)

Output
**Size of the total moment**: 0.1008 μB per atom
**E_form**: -0.27 eV per atom
**Energy**: -94.156 eV per cell

---

[5]
Compound: FeHgRu
Source: Alexandria via LeMat-Bulk
Functional: GGA-PBE
Structure: optimized geometry

Unit cell a=2.8331 b=2.8331 c=6.7474 alpha=90.00 beta=90.00 gamma=120.00
Space group P3m1 (No. 156)
Inequivalent atoms, fractional coordinates:
Fe1 0.0000 0.0000 0.0000 (multiplicity 1)
Hg1 0.6667 0.3333 0.3494 (multiplicity 1)
Ru1 0.3333 0.6667 0.7198 (multiplicity 1)

Output
**Size of the total moment**: 0.6766 μB per atom
**Offset from the most stable computed form**: 1.849 kcal/mol of atoms
**E_form**: 0.45 eV per atom
**Energy**: -16.699 eV per cell

---

[6]
Compound: ScUAu6
Source: Alexandria via LeMat-Bulk
Functional: GGA-PBE
Structure: optimized geometry

Unit cell a=8.334 b=4.817 c=8.339 alpha=90.00 beta=109.38 gamma=90.00
Space group C2/m (No. 12)
Inequivalent atoms, fractional coordinates:
Sc1 0.000 0.000 0.000 (multiplicity 2)
U1 0.000 0.500 0.500 (multiplicity 2)
Au1 0.120 0.000 0.361 (multiplicity 4)
Au2 0.130 0.500 0.889 (multiplicity 4)
Au3 0.248 0.000 0.744 (multiplicity 4)

Output
**Size of the total moment**: 0.2735 μB per atom
**E_form**: -0.38 eV per atom
**Energy**: -80.646 eV per cell